# K3Ac3USe8 GGA-PBE relaxed
data_K3Ac3USe8
_chemical_formula_sum 'K9 Ac9 U3 Se24'
_symmetry_space_group_name_H-M 'R -3 m'
_symmetry_Int_Tables_number 166
_symmetry_space_group_name_Hall '-R 3 2"'
_cell_length_a 9.0132
_cell_length_b 9.0132
_cell_length_c 23.3463
_cell_angle_alpha 90.00
_cell_angle_beta 90.00
_cell_angle_gamma 120.00
loop_
_atom_site_label
_atom_site_fract_x
_atom_site_fract_y
_atom_site_fract_z
K1 0.0000 0.5000 0.0000
Ac1 0.0000 0.5000 0.5000
U1 0.0000 0.0000 0.5000
Se1 0.0000 0.0000 0.2399
Se2 0.0244 0.5122 0.2341
# ΔE_f (raw) = -25.077 eV/f.u.


# K4Ac3VSe8 GGA-PBE relaxed
data_K4Ac3VSe8
_chemical_formula_sum 'K12 Ac9 V3 Se24'
_symmetry_space_group_name_H-M 'R -3 m'
_symmetry_Int_Tables_number 166
_symmetry_space_group_name_Hall '-R 3 2"'
_cell_length_a 8.8198
_cell_length_b 8.8198
_cell_length_c 23.2020
_cell_angle_alpha 90.00
_cell_angle_beta 90.00
_cell_angle_gamma 120.00
loop_
_atom_site_label
_atom_site_fract_x
_atom_site_fract_y
_atom_site_fract_z
K1 0.0000 0.0000 0.0000
K2 0.0000 0.5000 0.0000
Ac1 0.0000 0.5000 0.5000
V1 0.0000 0.0000 0.5000
Se1 0.0000 0.0000 0.2418
Se2 0.0360 0.5180 0.2342
# ΔE_f (raw) = -23.989 eV/f.u.


# KAcY2Se4 GGA-PBE relaxed
data_KAcY2Se4
_chemical_formula_sum 'K1 Ac1 Y2 Se4'
_symmetry_space_group_name_H-M 'P 1 2/m 1'
_symmetry_Int_Tables_number 10
_symmetry_space_group_name_Hall '-P 2y'
_cell_length_a 7.374
_cell_length_b 4.196
_cell_length_c 7.616
_cell_angle_alpha 90.00
_cell_angle_beta 108.16
_cell_angle_gamma 90.00
loop_
_atom_site_label
_atom_site_fract_x
_atom_site_fract_y
_atom_site_fract_z
K1 0.000 0.000 0.000
Ac1 0.500 0.500 0.000
Y1 0.000 0.500 0.500
Y2 0.500 0.000 0.500
Se1 0.241 0.000 0.724
Se2 0.264 0.500 0.280
# ΔE_f (raw) = -14.155 eV/f.u.


# K3AcY2Se6 GGA-PBE relaxed
data_K3AcY2Se6
_chemical_formula_sum 'K6 Ac2 Y4 Se12'
_symmetry_space_group_name_H-M 'C 1 2/m 1'
_symmetry_Int_Tables_number 12
_symmetry_space_group_name_Hall '-C 2y'
_cell_length_a 7.517
_cell_length_b 13.025
_cell_length_c 8.114
_cell_angle_alpha 90.00
_cell_angle_beta 108.08
_cell_angle_gamma 90.00
loop_
_atom_site_label
_atom_site_fract_x
_atom_site_fract_y
_atom_site_fract_z
K1 0.000 0.000 0.000
K2 0.000 0.336 0.000
Ac1 0.000 0.500 0.500
Y1 0.000 0.167 0.500
Se1 0.218 0.000 0.709
Se2 0.246 0.324 0.709
# ΔE_f (raw) = -21.315 eV/f.u.


# K4Ac3YSe8 GGA-PBE relaxed
data_K4Ac3YSe8
_chemical_formula_sum 'K12 Ac9 Y3 Se24'
_symmetry_space_group_name_H-M 'R -3 m'
_symmetry_Int_Tables_number 166
_symmetry_space_group_name_Hall '-R 3 2"'
_cell_length_a 8.9871
_cell_length_b 8.9871
_cell_length_c 23.1780
_cell_angle_alpha 90.00
_cell_angle_beta 90.00
_cell_angle_gamma 120.00
loop_
_atom_site_label
_atom_site_fract_x
_atom_site_fract_y
_atom_site_fract_z
K1 0.0000 0.0000 0.0000
K2 0.0000 0.5000 0.0000
Ac1 0.0000 0.5000 0.5000
Y1 0.0000 0.0000 0.5000
Se1 0.0000 0.0000 0.2404
Se2 0.0165 0.5083 0.2373
# ΔE_f (raw) = -28.667 eV/f.u.


# K3Ac3YSe8 GGA-PBE relaxed
data_K3Ac3YSe8
_chemical_formula_sum 'K9 Ac9 Y3 Se24'
_symmetry_space_group_name_H-M 'R -3 m'
_symmetry_Int_Tables_number 166
_symmetry_space_group_name_Hall '-R 3 2"'
_cell_length_a 9.0223
_cell_length_b 9.0223
_cell_length_c 23.2731
_cell_angle_alpha 90.00
_cell_angle_beta 90.00
_cell_angle_gamma 120.00
loop_
_atom_site_label
_atom_site_fract_x
_atom_site_fract_y
_atom_site_fract_z
K1 0.0000 0.5000 0.0000
Ac1 0.0000 0.5000 0.5000
Y1 0.0000 0.0000 0.5000
Se1 0.0000 0.0000 0.2401
Se2 0.0207 0.5104 0.2347
# ΔE_f (raw) = -25.484 eV/f.u.


# KAcZnSe3 GGA-PBE relaxed
data_KAcZnSe3
_chemical_formula_sum 'K2 Ac2 Zn2 Se6'
_symmetry_space_group_name_H-M 'P 1 21/m 1'
_symmetry_Int_Tables_number 11
_symmetry_space_group_name_Hall '-P 2yb'
_cell_length_a 9.463
_cell_length_b 4.392
_cell_length_c 10.024
_cell_angle_alpha 90.00
_cell_angle_beta 102.59
_cell_angle_gamma 90.00
loop_
_atom_site_label
_atom_site_fract_x
_atom_site_fract_y
_atom_site_fract_z
K1 0.186 0.250 0.219
Ac1 0.335 0.750 0.842
Zn1 0.079 0.250 0.604
Se1 0.104 0.250 0.851
Se2 0.184 0.750 0.520
Se3 0.436 0.750 0.157
# ΔE_f (raw) = -8.393 eV/f.u.


# K2AcZn2Se4 GGA-PBE relaxed
data_K2AcZn2Se4
_chemical_formula_sum 'K4 Ac2 Zn4 Se8'
_symmetry_space_group_name_H-M 'C 1 2/m 1'
_symmetry_Int_Tables_number 12
_symmetry_space_group_name_Hall '-C 2y'
_cell_length_a 16.071
_cell_length_b 4.569
_cell_length_c 8.039
_cell_angle_alpha 90.00
_cell_angle_beta 110.07
_cell_angle_gamma 90.00
loop_
_atom_site_label
_atom_site_fract_x
_atom_site_fract_y
_atom_site_fract_z
K1 0.134 0.000 0.069
Ac1 0.000 0.000 0.500
Zn1 0.179 0.500 0.505
Se1 0.027 0.500 0.259
Se2 0.208 0.000 0.671
# ΔE_f (raw) = -10.036 eV/f.u.


# K2AcZrSe4 GGA-PBE relaxed
data_K2AcZrSe4
_chemical_formula_sum 'K2 Ac1 Zr1 Se4'
_symmetry_space_group_name_H-M 'P 1 2/m 1'
_symmetry_Int_Tables_number 10
_symmetry_space_group_name_Hall '-P 2y'
_cell_length_a 7.443
_cell_length_b 4.227
_cell_length_c 8.124
_cell_angle_alpha 90.00
_cell_angle_beta 107.17
_cell_angle_gamma 90.00
loop_
_atom_site_label
_atom_site_fract_x
_atom_site_fract_y
_atom_site_fract_z
K1 0.000 0.000 0.000
K2 0.500 0.500 0.000
Ac1 0.000 0.500 0.500
Zr1 0.500 0.000 0.500
Se1 0.269 0.000 0.716
Se2 0.291 0.500 0.298
# ΔE_f (raw) = -12.020 eV/f.u.


# KAcSi4 GGA-PBE relaxed
data_KAcSi4
_chemical_formula_sum 'K4 Ac4 Si16'
_symmetry_space_group_name_H-M 'F -4 3 m'
_symmetry_Int_Tables_number 216
_symmetry_space_group_name_Hall 'F -4 2 3'
_cell_length_a 8.263
_cell_length_b 8.263
_cell_length_c 8.263
_cell_angle_alpha 90.00
_cell_angle_beta 90.00
_cell_angle_gamma 90.00
loop_
_atom_site_label
_atom_site_fract_x
_atom_site_fract_y
_atom_site_fract_z
K1 0.000 0.000 0.000
Ac1 0.250 0.250 0.250
Si1 0.106 0.106 0.606
# ΔE_f (raw) = -0.499 eV/f.u.


# KAc4Si4 GGA-PBE relaxed
data_KAc4Si4
_chemical_formula_sum 'K2 Ac8 Si8'
_symmetry_space_group_name_H-M 'P 42/n'
_symmetry_Int_Tables_number 86
_cell_length_a 10.336
_cell_length_b 10.336
_cell_length_c 6.222
_cell_angle_alpha 90.00
_cell_angle_beta 90.00
_cell_angle_gamma 90.00
loop_
_symmetry_equiv_pos_as_xyz
'x,y,z'
'-x,-y,-z'
'-y,x+1/2,z+1/2'
'y,-x+1/2,-z+1/2'
'-x+1/2,-y+1/2,z'
'x+1/2,y+1/2,-z'
'y+1/2,-x,z+1/2'
'-y+1/2,x,-z+1/2'
loop_
_atom_site_label
_atom_site_fract_x
_atom_site_fract_y
_atom_site_fract_z
K1 0.250 0.250 0.250
Ac1 0.111 0.630 0.123
Si1 0.054 0.574 0.625
# ΔE_f (raw) = -2.170 eV/f.u.


# KAcSi GGA-PBE relaxed
data_KAcSi
_chemical_formula_sum 'K4 Ac4 Si4'
_symmetry_space_group_name_H-M 'C 1 2/m 1'
_symmetry_Int_Tables_number 12
_symmetry_space_group_name_Hall '-C 2y'
_cell_length_a 11.128
_cell_length_b 4.304
_cell_length_c 10.708
_cell_angle_alpha 90.00
_cell_angle_beta 92.24
_cell_angle_gamma 90.00
loop_
_atom_site_label
_atom_site_fract_x
_atom_site_fract_y
_atom_site_fract_z
K1 0.129 0.000 0.363
Ac1 0.141 0.000 0.879
Si1 0.077 0.500 0.081
# ΔE_f (raw) = -0.476 eV/f.u.